## one
Entry from Alexandria: an optimized crystal structure of UCrRu (PBE).

Cell: 3.9617 3.9617 21.8958 Å, 90.00 90.00 120.00°
Space group R-3m (No. 166, hexagonal axes)
One atom of each set of equivalent atoms:
U 0.0000 0.0000 0.1994 [6 per cell]
Cr 0.0000 0.0000 0.3516 [6 per cell]
Ru 0.0000 0.0000 0.0624 [6 per cell]

Total magnetic moment: 0.00 μB per formula unit

---

## two
Entry from Alexandria: an optimized crystal structure of UCrRu (PBE).

Cell: 2.869 2.869 11.530 Å, 90.00 90.00 90.00°
Space group I4mm (No. 107)
One atom of each set of equivalent atoms:
U 0.000 0.000 0.000 [2 per cell]
Cr 0.000 0.000 0.679 [2 per cell]
Ru 0.000 0.000 0.304 [2 per cell]

Total magnetic moment: 0.00 μB per formula unit

---

The calculated energies rank the structures as follows, beginning with the most stable: two, one.

---

## one
Entry from Alexandria: an optimized crystal structure of VCrRu (PBE).

Cell: 8.861 4.188 5.115 Å, 90.00 124.56 90.00°
Space group Cm (No. 8)
One atom of each set of equivalent atoms:
V 0.000 0.000 0.000 [2 per cell]
V 0.168 0.500 0.820 [2 per cell]
Cr 0.320 0.000 0.163 [2 per cell]
Cr 0.494 0.500 0.489 [2 per cell]
Ru 0.155 0.500 0.311 [2 per cell]
Ru 0.345 0.000 0.684 [2 per cell]

Total magnetic moment: 0.00 μB per formula unit

---

## two
Entry from Alexandria: an optimized crystal structure of VCrRu (PBE).

Cell: 4.214 2.953 12.533 Å, 90.00 90.00 90.00°
Space group Amm2 (No. 38)
One atom of each set of equivalent atoms:
V 0.000 0.000 0.000 [2 per cell]
V 0.000 0.000 0.339 [2 per cell]
Cr 0.500 0.000 0.188 [2 per cell]
Cr 0.500 0.000 0.832 [2 per cell]
Ru 0.000 0.000 0.668 [2 per cell]
Ru 0.500 0.000 0.508 [2 per cell]

Total magnetic moment: 0.09 μB per formula unit

---

The calculated energies rank the structures as follows, beginning with the most stable: two, one.

---

## one
Entry from Alexandria: an optimized crystal structure of VCrRu (PBE).

Cell: 2.928 2.928 9.125 Å, 90.00 90.00 90.00°
Space group P4/nmm (No. 129, origin choice 2)
One atom of each set of equivalent atoms:
V 0.250 0.250 0.239 [2 per cell]
Cr 0.250 0.250 0.927 [2 per cell]
Ru 0.250 0.250 0.607 [2 per cell]

Total magnetic moment: 0.00 μB per formula unit

---

## two
Entry from Alexandria: an optimized crystal structure of VCrRu (PBE).

Cell: 4.186 2.958 12.654 Å, 90.00 90.00 90.00°
Space group Amm2 (No. 38)
One atom of each set of equivalent atoms:
V 0.000 0.000 0.000 [2 per cell]
V 0.500 0.000 0.169 [2 per cell]
Cr 0.000 0.000 0.338 [2 per cell]
Cr 0.000 0.000 0.670 [2 per cell]
Ru 0.500 0.000 0.508 [2 per cell]
Ru 0.500 0.000 0.825 [2 per cell]

Total magnetic moment: 0.00 μB per formula unit

---

## three
Entry from Alexandria: an optimized crystal structure of VCrRu (PBE).

Cell: 2.947 2.947 8.952 Å, 90.00 90.00 90.00°
Space group I4mm (No. 107)
One atom of each set of equivalent atoms:
V 0.000 0.000 0.000 [2 per cell]
Cr 0.000 0.000 0.348 [2 per cell]
Ru 0.000 0.000 0.672 [2 per cell]

Total magnetic moment: 0.00 μB per formula unit

---

The calculated energies rank the structures as follows, beginning with the most stable: one, three, two.

---

## one
Entry from Alexandria: an optimized crystal structure of VCrRu (PBE).

Cell: 2.950 4.213 12.630 Å, 90.00 90.00 90.00°
Space group Amm2 (No. 38)
One atom of each set of equivalent atoms:
V 0.000 0.000 0.000 [2 per cell]
V 0.000 0.000 0.338 [2 per cell]
Cr 0.000 0.000 0.687 [2 per cell]
Cr 0.500 0.000 0.838 [2 per cell]
Ru 0.500 0.000 0.167 [2 per cell]
Ru 0.500 0.000 0.505 [2 per cell]

Total magnetic moment: 0.76 μB per formula unit

---

## two
Entry from Alexandria: an optimized crystal structure of VCrRu (PBE).

Cell: 2.947 4.181 12.720 Å, 90.00 90.00 90.00°
Space group Amm2 (No. 38)
One atom of each set of equivalent atoms:
V 0.000 0.000 0.000 [2 per cell]
V 0.500 0.000 0.164 [2 per cell]
Cr 0.500 0.000 0.503 [2 per cell]
Cr 0.500 0.000 0.849 [2 per cell]
Ru 0.000 0.000 0.330 [2 per cell]
Ru 0.000 0.000 0.670 [2 per cell]

Total magnetic moment: 0.80 μB per formula unit

---

## three
Entry from Alexandria: an optimized crystal structure of VCrRu (PBE).

Cell: 8.923 4.148 5.126 Å, 90.00 124.89 90.00°
Space group Cm (No. 8)
One atom of each set of equivalent atoms:
V 0.000 0.000 0.000 [2 per cell]
V 0.161 0.500 0.814 [2 per cell]
Cr 0.146 0.500 0.307 [2 per cell]
Cr 0.309 0.000 0.129 [2 per cell]
Ru 0.332 0.000 0.653 [2 per cell]
Ru 0.480 0.500 0.476 [2 per cell]

Total magnetic moment: 0.00 μB per formula unit

---

## four
Entry from Alexandria: an optimized crystal structure of VCrRu (PBE).

Cell: 4.230 2.947 12.488 Å, 90.00 90.00 90.00°
Space group Amm2 (No. 38)
One atom of each set of equivalent atoms:
V 0.000 0.000 0.000 [2 per cell]
V 0.500 0.000 0.162 [2 per cell]
Cr 0.000 0.000 0.655 [2 per cell]
Cr 0.500 0.000 0.814 [2 per cell]
Ru 0.000 0.000 0.328 [2 per cell]
Ru 0.500 0.000 0.489 [2 per cell]

Total magnetic moment: 0.00 μB per formula unit

---

The calculated energies rank the structures as follows, beginning with the most stable: one, four, two, three.

---

## one
Entry from Alexandria: an optimized crystal structure of VCrRu (PBE).

Cell: 2.935 4.168 12.760 Å, 90.00 90.00 90.00°
Space group Amm2 (No. 38)
One atom of each set of equivalent atoms:
V 0.000 0.000 0.000 [2 per cell]
V 0.000 0.000 0.324 [2 per cell]
Cr 0.500 0.000 0.154 [2 per cell]
Cr 0.500 0.000 0.830 [2 per cell]
Ru 0.000 0.000 0.673 [2 per cell]
Ru 0.500 0.000 0.487 [2 per cell]

Total magnetic moment: 0.00 μB per formula unit

---

## two
Entry from Alexandria: an optimized crystal structure of VCrRu (PBE).

Cell: 4.1199 4.1199 2.6596 Å, 90.00 90.00 120.00°
Space group P3m1 (No. 156)
One atom of each set of equivalent atoms:
V 0.0000 0.0000 0.0000 [1 per cell]
Cr 0.3333 0.6667 0.2897 [1 per cell]
Ru 0.6667 0.3333 0.6607 [1 per cell]

Total magnetic moment: 0.00 μB per formula unit

---

## three
Entry from Alexandria: an optimized crystal structure of VCrRu (PBE).

Cell: 2.564 2.564 13.174 Å, 90.00 90.00 90.00°
Space group I4mm (No. 107)
One atom of each set of equivalent atoms:
V 0.000 0.000 0.000 [2 per cell]
Cr 0.000 0.000 0.823 [2 per cell]
Ru 0.000 0.000 0.650 [2 per cell]

Total magnetic moment: 0.00 μB per formula unit

---

## four
Entry from Alexandria: an optimized crystal structure of VCrRu (PBE).

Cell: 8.904 4.142 5.124 Å, 90.00 124.57 90.00°
Space group Cm (No. 8)
One atom of each set of equivalent atoms:
V 0.000 0.000 0.000 [2 per cell]
V 0.156 0.500 0.326 [2 per cell]
Cr 0.348 0.000 0.199 [2 per cell]
Cr 0.483 0.500 0.490 [2 per cell]
Ru 0.168 0.500 0.842 [2 per cell]
Ru 0.317 0.000 0.667 [2 per cell]

Total magnetic moment: 0.00 μB per formula unit

---

The calculated energies rank the structures as follows, beginning with the most stable: one, four, two, three.

---

## one
Entry from Alexandria: an optimized crystal structure of VCrRu (PBE).

Cell: 4.1823 4.1823 5.2044 Å, 90.00 90.00 120.00°
Space group P3m1 (No. 156)
One atom of each set of equivalent atoms:
V 0.0000 0.0000 0.0000 [1 per cell]
V 0.3333 0.6667 0.3544 [1 per cell]
Cr 0.0000 0.0000 0.5091 [1 per cell]
Cr 0.6667 0.3333 0.6558 [1 per cell]
Ru 0.3333 0.6667 0.8498 [1 per cell]
Ru 0.6667 0.3333 0.1712 [1 per cell]

Total magnetic moment: 0.76 μB per formula unit

---

## two
Entry from Alexandria: an optimized crystal structure of VCrRu (PBE).

Cell: 3.7223 3.7223 13.1880 Å, 90.00 90.00 120.00°
Space group R3m (No. 160, hexagonal axes)
One atom of each set of equivalent atoms:
V 0.0000 0.0000 0.0000 [3 per cell]
Cr 0.0000 0.0000 0.4190 [3 per cell]
Ru 0.0000 0.0000 0.8099 [3 per cell]

Total magnetic moment: 0.01 μB per formula unit

---

The calculated energies rank the structures as follows, beginning with the most stable: one, two.